# PBE TlAsSe2Br, relaxed
# * formation energy without anion corrections: -0.066 eV/atom
# * offset from the most stable computed form: 0.000 eV/atom
data_TlAsSe2Br
_symmetry_space_group_name_H-M 'P 4/m m m'
_symmetry_Int_Tables_number 123
_symmetry_space_group_name_Hall '-P 4 2'
_cell_length_a 5.097
_cell_length_b 5.097
_cell_length_c 5.578
_cell_angle_alpha 90.00
_cell_angle_beta 90.00
_cell_angle_gamma 90.00
loop_
_atom_site_label
_atom_site_type_symbol
_atom_site_fract_x
_atom_site_fract_y
_atom_site_fract_z
Tl1 Tl 0.000 0.000 0.000
As1 As 0.500 0.500 0.500
Se1 Se 0.000 0.500 0.500
Br1 Br 0.500 0.500 0.000